# 1
Compound: Sm6Ru2Pb
Source: Alexandria via LeMat-Bulk
Functional: GGA-PBE
Structure: optimized geometry

abc: 8.6974 8.6974 8.6974
angles: 104.87 110.76 112.88
Atoms (fractional coordinates):
Sm  0.5296  0.7124  0.8172
Sm  0.4704  0.2876  0.1828
Sm  0.1048  0.2876  0.8172
Sm  0.8952  0.7124  0.1828
Sm  0.7910  0.7628  0.5538
Sm  0.2090  0.2372  0.4462
Sm  0.2090  0.7628  0.9718
Sm  0.7910  0.2372  0.0282
Sm  0.6870  0.3575  0.6705
Sm  0.3130  0.6425  0.3295
Sm  0.3130  0.9835  0.6705
Sm  0.6870  0.0165  0.3295
Ru  0.5000  0.3745  0.8745
Ru  0.5000  0.6255  0.1255
Ru  0.6713  0.0000  0.6713
Ru  0.3287  0.0000  0.3287
Pb  0.0000  0.5000  0.5000
Pb  0.0000  0.0000  0.0000

Results
**N(E_F)**: 0.820 states/eV per atom
**Energy relative to the elements**: -0.3275 eV per atom
**Spin magnetization**: 0.0 Bohr magnetons per cell

# 2
Compound: DyAsPdAu
Source: Alexandria via LeMat-Bulk
Functional: GGA-PBE
Structure: optimized geometry

abc: 4.7939 4.7939 4.7939
angles: 60.00 60.00 60.00
Atoms (fractional coordinates):
As  0.5000  0.5000  0.5000
Au  0.0000  0.0000  0.0000
Pd  0.2500  0.2500  0.2500
Dy  0.7500  0.7500  0.7500

Results
**N(E_F)**: 0.841 states/eV per atom
**Energy relative to the elements**: -0.6835 eV per atom
**Spin magnetization**: 0.0 Bohr magnetons per cell